(one)
VASP calculation (GGA-PBEsol) on an optimized crystal structure of ZrCuPt.

Geometry as POSCAR:
```
ZrCuPt
1.0
0.000 3.050 3.050
3.050 0.000 3.050
3.050 3.050 0.000
Zr Cu Pt
1 1 1
Cartesian
0.000 0.000 0.000
3.050 3.050 3.050
1.525 1.525 1.525
```

Computed properties:
Magnetization, μB/atom: 0.000
Space-group type: F-43m, No. 216
ρ, g/cm3: 10.24



(two)
VASP calculation (GGA-PBEsol) on an optimized crystal structure of ZrCuPt.

Geometry as POSCAR:
```
ZrCuPt
1.0
-1.707 1.707 4.146
1.707 -1.707 4.146
1.707 1.707 -4.146
Zr Cu Pt
1 1 1
Cartesian
0.000 0.000 0.000
0.000 0.000 2.718
0.000 0.000 5.485
```

Computed properties:
Magnetization, μB/atom: 0.000
Space-group type: I4mm, No. 107
ρ, g/cm3: 12.02



Most favorable structure: (two). The second most favorable one is 0.334 eV/atom above it.



(one)
VASP calculation (GGA-PBEsol) on an optimized crystal structure of CuRe.

Geometry as POSCAR:
```
CuRe
1.0
-1.707 1.989 3.812
1.707 -1.989 3.812
1.707 1.989 -3.812
Cu Re
2 2
Cartesian
0.000 0.995 1.034
1.707 0.995 2.778
1.707 0.995 -0.931
0.000 0.995 4.742
```

Computed properties:
Magnetization, μB/atom: 0.000
Space-group type: Imma, No. 74
ρ, g/cm3: 16.02



(two)
VASP calculation (GGA-PBEsol) on an optimized crystal structure of CuRe.

Geometry as POSCAR:
```
CuRe
1.0
1.504 -2.127 0.000
1.504 2.127 0.000
0.000 0.000 8.385
Cu Re
2 2
Cartesian
1.504 1.063 7.419
1.504 -1.063 0.966
1.504 1.063 3.099
1.504 -1.063 5.286
```

Computed properties:
Magnetization, μB/atom: 0.000
Space-group type: Cmme, No. 67
ρ, g/cm3: 15.47



Most favorable structure: (one). The second most favorable one is 0.051 eV/atom above it.



(one)
VASP calculation (GGA-PBEsol) on an optimized crystal structure of CuRe2Rh.

Geometry as POSCAR:
```
CuRe2Rh
1.0
0.000 3.020 3.020
3.020 0.000 3.020
3.020 3.020 0.000
Cu Re Rh
1 2 1
Cartesian
0.000 0.000 0.000
3.020 3.020 3.020
4.530 4.530 4.530
1.510 1.510 1.510
```

Computed properties:
Magnetization, μB/atom: 0.000
Space-group type: F-43m, No. 216
ρ, g/cm3: 16.24



(two)
VASP calculation (GGA-PBEsol) on an optimized crystal structure of CuRe2Rh.

Geometry as POSCAR:
```
CuRe2Rh
1.0
2.650 0.000 0.000
0.000 2.650 0.000
0.000 0.000 7.711
Cu Re Rh
1 2 1
Cartesian
0.000 0.000 0.000
1.325 1.325 1.895
1.325 1.325 5.817
0.000 0.000 3.856
```

Computed properties:
Magnetization, μB/atom: 0.000
Space-group type: P4/mmm, No. 123
ρ, g/cm3: 16.52



Most favorable structure: (two). The second most favorable one is 0.073 eV/atom above it.